--- 1 ---
ZrNbCo: optimized geometry, PBE-GGA.

CIF file:
```
data_ZrNbCo
_chemical_formula_sum 'Zr2 Nb2 Co2'
_symmetry_space_group_name_H-M 'I 4 m m'
_symmetry_Int_Tables_number 107
_symmetry_space_group_name_Hall 'I 4 -2'
_cell_length_a 3.126
_cell_length_b 3.126
_cell_length_c 10.567
_cell_angle_alpha 90.00
_cell_angle_beta 90.00
_cell_angle_gamma 90.00
loop_
_atom_site_label
_atom_site_fract_x
_atom_site_fract_y
_atom_site_fract_z
Zr1 0.000 0.000 0.000
Nb1 0.000 0.000 0.697
Co1 0.000 0.000 0.328
```

=====

--- 2 ---
ZrNbCo: optimized geometry, PBE-GGA.

CIF file:
```
data_ZrNbCo
_chemical_formula_sum 'Zr16 Nb16 Co16'
_symmetry_space_group_name_H-M 'F d d d'
_symmetry_Int_Tables_number 70
_cell_length_a 5.045
_cell_length_b 8.936
_cell_length_c 17.984
_cell_angle_alpha 90.00
_cell_angle_beta 90.00
_cell_angle_gamma 90.00
loop_
_symmetry_equiv_pos_as_xyz
'x,y,z'
'-x,-y,-z'
'-x+1/4,-y+1/4,z'
'x+1/4,y+1/4,-z'
'x,-y+1/4,-z+1/4'
'-x,y+1/4,z+1/4'
'-x+1/4,y,-z+1/4'
'x+1/4,-y,z+1/4'
'x,y+1/2,z+1/2'
'-x,-y+1/2,-z+1/2'
'-x+1/4,-y+3/4,z+1/2'
'x+1/4,y+3/4,-z+1/2'
'x,-y+3/4,-z+3/4'
'-x,y+3/4,z+3/4'
'-x+1/4,y+1/2,-z+3/4'
'x+1/4,-y+1/2,z+3/4'
'x+1/2,y,z+1/2'
'-x+1/2,-y,-z+1/2'
'-x+3/4,-y+1/4,z+1/2'
'x+3/4,y+1/4,-z+1/2'
'x+1/2,-y+1/4,-z+3/4'
'-x+1/2,y+1/4,z+3/4'
'-x+3/4,y,-z+3/4'
'x+3/4,-y,z+3/4'
'x+1/2,y+1/2,z'
'-x+1/2,-y+1/2,-z'
'-x+3/4,-y+3/4,z'
'x+3/4,y+3/4,-z'
'x+1/2,-y+3/4,-z+1/4'
'-x+1/2,y+3/4,z+1/4'
'-x+3/4,y+1/2,-z+1/4'
'x+3/4,-y+1/2,z+1/4'
loop_
_atom_site_label
_atom_site_fract_x
_atom_site_fract_y
_atom_site_fract_z
Zr1 0.125 0.292 0.125
Nb1 0.125 0.125 0.544
Co1 0.125 0.125 0.001
```

=====

Of them, 1 has the lowest stability.

=====

--- 1 ---
ZrNbCo: optimized geometry, PBE-GGA.

CIF file:
```
data_ZrNbCo
_chemical_formula_sum 'Zr4 Nb4 Co4'
_symmetry_space_group_name_H-M 'A m m 2'
_symmetry_Int_Tables_number 38
_cell_length_a 3.287
_cell_length_b 4.605
_cell_length_c 13.426
_cell_angle_alpha 90.00
_cell_angle_beta 90.00
_cell_angle_gamma 90.00
loop_
_symmetry_equiv_pos_as_xyz
'x,y,z'
'-x,-y,z'
'-x,y,z'
'x,-y,z'
'x,y+1/2,z+1/2'
'-x,-y+1/2,z+1/2'
'-x,y+1/2,z+1/2'
'x,-y+1/2,z+1/2'
loop_
_atom_site_label
_atom_site_fract_x
_atom_site_fract_y
_atom_site_fract_z
Zr1 0.000 0.000 0.000
Zr2 0.000 0.000 0.322
Nb1 0.000 0.000 0.671
Nb2 0.500 0.000 0.506
Co1 0.500 0.000 0.167
Co2 0.500 0.000 0.824
```

=====

--- 2 ---
ZrNbCo: optimized geometry, PBE-GGA.

CIF file:
```
data_ZrNbCo
_chemical_formula_sum 'Zr4 Nb4 Co4'
_symmetry_space_group_name_H-M 'C 1 m 1'
_symmetry_Int_Tables_number 8
_cell_length_a 10.206
_cell_length_b 3.177
_cell_length_c 7.765
_cell_angle_alpha 90.00
_cell_angle_beta 124.30
_cell_angle_gamma 90.00
loop_
_symmetry_equiv_pos_as_xyz
'x,y,z'
'x,-y,z'
'x+1/2,y+1/2,z'
'x+1/2,-y+1/2,z'
loop_
_atom_site_label
_atom_site_fract_x
_atom_site_fract_y
_atom_site_fract_z
Zr1 0.000 0.000 0.000
Zr2 0.245 0.500 0.432
Nb1 0.097 0.500 0.727
Nb2 0.325 0.000 0.134
Co1 0.013 0.000 0.414
Co2 0.296 0.000 0.727
```

=====

Of them, 1 has the lowest stability.

=====

--- 1 ---
Zr2NbCo: optimized geometry, PBE-GGA.

CIF file:
```
data_Zr2NbCo
_chemical_formula_sum 'Zr2 Nb1 Co1'
_symmetry_space_group_name_H-M 'P 4/m m m'
_symmetry_Int_Tables_number 123
_symmetry_space_group_name_Hall '-P 4 2'
_cell_length_a 3.243
_cell_length_b 3.243
_cell_length_c 6.988
_cell_angle_alpha 90.00
_cell_angle_beta 90.00
_cell_angle_gamma 90.00
loop_
_atom_site_label
_atom_site_fract_x
_atom_site_fract_y
_atom_site_fract_z
Zr1 0.000 0.000 0.225
Nb1 0.500 0.500 0.500
Co1 0.500 0.500 0.000
```

=====

--- 2 ---
Zr2NbCo: optimized geometry, PBE-GGA.

CIF file:
```
data_Zr2NbCo
_chemical_formula_sum 'Zr2 Nb1 Co1'
_symmetry_space_group_name_H-M 'P 4/m m m'
_symmetry_Int_Tables_number 123
_symmetry_space_group_name_Hall '-P 4 2'
_cell_length_a 4.653
_cell_length_b 4.653
_cell_length_c 3.369
_cell_angle_alpha 90.00
_cell_angle_beta 90.00
_cell_angle_gamma 90.00
loop_
_atom_site_label
_atom_site_fract_x
_atom_site_fract_y
_atom_site_fract_z
Zr1 0.000 0.500 0.000
Nb1 0.000 0.000 0.500
Co1 0.500 0.500 0.500
```

=====

--- 3 ---
Zr2NbCo: optimized geometry, PBE-GGA.

CIF file:
```
data_Zr2NbCo
_chemical_formula_sum 'Zr8 Nb4 Co4'
_symmetry_space_group_name_H-M 'I -4 2 d'
_symmetry_Int_Tables_number 122
_symmetry_space_group_name_Hall 'I -4 2bw'
_cell_length_a 7.370
_cell_length_b 7.370
_cell_length_c 5.671
_cell_angle_alpha 90.00
_cell_angle_beta 90.00
_cell_angle_gamma 90.00
loop_
_atom_site_label
_atom_site_fract_x
_atom_site_fract_y
_atom_site_fract_z
Zr1 0.207 0.250 0.125
Nb1 0.000 0.000 0.500
Co1 0.000 0.000 0.000
```

=====

Of them, 3 has the lowest stability.

=====

--- 1 ---
NdCo5: optimized geometry, PBE-GGA.

CIF file:
```
data_NdCo5
_chemical_formula_sum 'Nd2 Co10'
_symmetry_space_group_name_H-M 'C m m m'
_symmetry_Int_Tables_number 65
_symmetry_space_group_name_Hall '-C 2 2'
_cell_length_a 3.820
_cell_length_b 11.491
_cell_length_c 3.831
_cell_angle_alpha 90.00
_cell_angle_beta 90.00
_cell_angle_gamma 90.00
loop_
_atom_site_label
_atom_site_fract_x
_atom_site_fract_y
_atom_site_fract_z
Nd1 0.000 0.000 0.000
Co1 0.000 0.189 0.500
Co2 0.000 0.311 0.000
Co3 0.000 0.500 0.500
```

=====

--- 2 ---
NdCo5: optimized geometry, PBE-GGA.

CIF file:
```
data_NdCo5
_chemical_formula_sum 'Nd1 Co5'
_symmetry_space_group_name_H-M 'P 6/m m m'
_symmetry_Int_Tables_number 191
_symmetry_space_group_name_Hall '-P 6 2'
_cell_length_a 5.0135
_cell_length_b 5.0135
_cell_length_c 3.9388
_cell_angle_alpha 90.00
_cell_angle_beta 90.00
_cell_angle_gamma 120.00
loop_
_atom_site_label
_atom_site_fract_x
_atom_site_fract_y
_atom_site_fract_z
Nd1 0.0000 0.0000 0.0000
Co1 0.0000 0.5000 0.5000
Co2 0.3333 0.6667 0.0000
```

=====

Of them, 1 has the lowest stability.